Computed, not measured: an optimized crystal structure of CeEr6Ga3 at the GGA-PBE level of DFT.

a = 8.213 Å, b = 8.233 Å, c = 8.233 Å
α = 99.75°, β = 90.00°, γ = 90.00°
Sites, in units of the cell vectors:
Er  0.809  0.412  0.055
Ga  0.968  0.717  0.880
Er  0.190  0.033  0.967
Ga  0.364  0.428  0.572
Er  0.520  0.224  0.776
Ga  0.864  0.572  0.428
Er  0.666  0.268  0.399
Er  0.309  0.055  0.412
Er  0.666  0.601  0.732
Er  0.809  0.945  0.588
Er  0.309  0.588  0.945
Er  0.690  0.967  0.033
Er  0.020  0.776  0.224
Er  0.166  0.732  0.601
Ce  0.525  0.669  0.331
Ga  0.968  0.120  0.283
Ga  0.468  0.283  0.120
Ga  0.468  0.880  0.717
Er  0.166  0.399  0.268
Ce  0.025  0.331  0.669

Calculated values
VASP energy ... -4.519 eV/atom
Calculated formation energy ... -280 meV/atom

Computed, not measured: an optimized crystal structure of GdPaPbAu at the GGA-PBE level of DFT.

a = 5.303 Å, b = 5.303 Å, c = 5.303 Å
α = 60.00°, β = 60.00°, γ = 60.00°
Sites, in units of the cell vectors:
Pa  0.750  0.750  0.750
Au  0.000  0.000  0.000
Pb  0.500  0.500  0.500
Gd  0.250  0.250  0.250

Calculated values
VASP energy ... -7.874 eV/atom
Calculated formation energy ... -234 meV/atom

Among the records above, which one has the lowest calculated formation energy? CeEr6Ga3

The highest VASP energy belongs to which entry? CeEr6Ga3